The following is a SCAN calculation of a crystal of Pr2Si2PbSe8 relaxed with PBEsol, from the Alexandria database.

Cell and atoms, written as POSCAR:
```
Pr2Si2PbSe8
1.0
7.9274 -4.6576 0.0000
7.9274 4.6576 0.0000
-5.0071 0.0000 9.2801
Pr Si Pb Se
4 4 2 16
Direct
0.0573 0.9427 0.5000 Pr
0.2465 0.4411 0.9947 Pr
0.4411 0.2465 0.4947 Pr
0.9427 0.0573 0.0000 Pr
0.1723 0.6495 0.7253 Si
0.3257 0.8545 0.2639 Si
0.6495 0.1723 0.2253 Si
0.8545 0.3257 0.7639 Si
0.5847 0.7459 0.9849 Pb
0.7459 0.5847 0.4849 Pb
0.0841 0.7924 0.1858 Se
0.0852 0.2671 0.6948 Se
0.0993 0.5795 0.4791 Se
0.2259 0.8950 0.8157 Se
0.2671 0.0852 0.1948 Se
0.4058 0.9310 0.5105 Se
0.4090 0.4223 0.7967 Se
0.4223 0.4090 0.2967 Se
0.5273 0.6119 0.1627 Se
0.5795 0.0993 0.9791 Se
0.6119 0.5273 0.6627 Se
0.7050 0.9552 0.3132 Se
0.7924 0.0841 0.6858 Se
0.8950 0.2259 0.3157 Se
0.9310 0.4058 0.0105 Se
0.9552 0.7050 0.8132 Se
```

Properties
* total moment: 0.00 μB/cell
* raw formation energy: -1178 meV per atom
* VASP energy: -1.0132 Ha/atom
* space-group type: Cc



The following is a SCAN calculation of a crystal of Pt5Pb relaxed with PBEsol, from the Alexandria database.

Cell and atoms, written as POSCAR:
```
Pt5Pb
1.0
4.7478 0.0000 0.0000
0.0000 1.4399 7.1647
0.0000 -1.4399 7.1647
Pt Pb
5 1
Direct
0.0000 0.0000 0.0000 Pt
0.0000 0.3242 0.3242 Pt
0.0000 0.6630 0.6630 Pt
0.5000 0.1456 0.1456 Pt
0.5000 0.8081 0.8081 Pt
0.5000 0.4742 0.4742 Pb
```

Properties
* total moment: 0.00 μB/cell
* formation enthalpy at 0 K: 0.15 eV/atom
* VASP energy: -2.6084 Ha/atom
* space-group type: Amm2



The following is a SCAN calculation of a crystal of PtPb relaxed with PBEsol, from the Alexandria database.

Cell and atoms, written as POSCAR:
```
PtPb
1.0
3.7096 0.0000 0.0000
-1.8548 3.2126 0.0000
0.0000 0.0000 7.3370
Pt Pb
2 2
Direct
0.3333 0.6667 0.2500 Pt
0.6667 0.3333 0.7500 Pt
0.0000 0.0000 0.0000 Pb
0.0000 0.0000 0.5000 Pb
```

Properties
* total moment: 0.00 μB/cell
* formation enthalpy at 0 K: 0.07 eV/atom
* VASP energy: -2.6795 Ha/atom
* space-group type: P6_3/mmc



The following is a SCAN calculation of a crystal of PtPb4 relaxed with PBEsol, from the Alexandria database.

Cell and atoms, written as POSCAR:
```
PtPb4
1.0
6.7062 0.0000 0.0000
0.0000 6.7062 0.0000
0.0000 0.0000 5.8775
Pt Pb
2 8
Direct
0.2500 0.2500 0.0000 Pt
0.7500 0.7500 0.0000 Pt
0.0791 0.5791 0.2519 Pb
0.0791 0.9209 0.7481 Pb
0.4209 0.5791 0.7481 Pb
0.4209 0.9209 0.2519 Pb
0.5791 0.0791 0.7481 Pb
0.5791 0.4209 0.2519 Pb
0.9209 0.0791 0.2519 Pb
0.9209 0.4209 0.7481 Pb
```

Properties
* total moment: 0.00 μB/cell
* formation enthalpy at 0 K: -0.15 eV/atom
* VASP energy: -2.7493 Ha/atom
* space-group type: P4/nbm



The following is a SCAN calculation of a crystal of PtPb relaxed with PBEsol, from the Alexandria database.

Cell and atoms, written as POSCAR:
```
PtPb
1.0
2.1288 1.2291 5.9780
-2.1288 1.2291 5.9780
0.0000 -2.4581 5.9780
Pt Pb
2 2
Direct
0.1427 0.1427 0.1427 Pt
0.8573 0.8573 0.8573 Pt
0.4004 0.4004 0.4004 Pb
0.5996 0.5996 0.5996 Pb
```

Properties
* total moment: 0.00 μB/cell
* formation enthalpy at 0 K: -0.09 eV/atom
* VASP energy: -2.6855 Ha/atom
* space-group type: R-3m



The following is a SCAN calculation of a crystal of PtPb relaxed with PBEsol, from the Alexandria database.

Cell and atoms, written as POSCAR:
```
PtPb
1.0
4.2854 0.0000 0.0000
-2.1427 3.7112 0.0000
0.0000 0.0000 5.4696
Pt Pb
2 2
Direct
0.0000 0.0000 0.0000 Pt
0.0000 0.0000 0.5000 Pt
0.3333 0.6667 0.2500 Pb
0.6667 0.3333 0.7500 Pb
```

Properties
* total moment: 0.00 μB/cell
* formation enthalpy at 0 K: -0.25 eV/atom
* VASP energy: -2.6914 Ha/atom
* space-group type: P6_3/mmc